Here is a relaxed structure of Ca2AlZnO5 from Alexandria via LeMat-Bulk. Energies are from PBE.

```
data_Ca2AlZnO5
_chemical_formula_sum 'Ca4 Al2 Zn2 O10'
_cell_length_a 6.6192
_cell_length_b 6.6192
_cell_length_c 10.2364
_cell_angle_alpha 90.00
_cell_angle_beta 90.00
_cell_angle_gamma 151.56
_space_group_name_H-M_alt 'P 1'
_space_group_IT_number 1
_space_group_name_Hall 'P 1'
loop_
_atom_site_label
_atom_site_fract_x
_atom_site_fract_y
_atom_site_fract_z
Ca1 0.0966 0.9034 0.5000
Ca2 0.1417 0.8583 0.1395
Ca3 0.8583 0.1417 0.6395
Ca4 0.9034 0.0966 0.0000
Al1 0.4634 0.5366 0.2839
Al2 0.5366 0.4634 0.7839
Zn1 0.2218 0.7782 0.8603
Zn2 0.7782 0.2218 0.3603
O1 0.0530 0.9470 0.8619
O2 0.2754 0.7246 0.4978
O3 0.3135 0.6865 0.2387
O4 0.3839 0.6161 0.8272
O5 0.4974 0.5026 0.1147
O6 0.5026 0.4974 0.6147
O7 0.6161 0.3839 0.3272
O8 0.6865 0.3135 0.7387
O9 0.7246 0.2754 0.9978
O10 0.9470 0.0530 0.3619
```

Output
**ρ**: 3.93 g cm⁻³
**Final energy**: -6.129 eV/atom
**Space group**: Cmc2_1 (36)
**Energy relative to the elements, uncorrected**: -2373 meV/atom
**Magnetization**: 0.116 μB/atom



Here is a relaxed structure of Ca14Al12Zn4O35 from Alexandria via LeMat-Bulk. Energies are from PBE.

```
data_Ca14Al12Zn4O35
_chemical_formula_sum 'Ca14 Al12 Zn4 O35'
_cell_length_a 10.6174
_cell_length_b 10.6174
_cell_length_c 10.6174
_cell_angle_alpha 60.00
_cell_angle_beta 60.00
_cell_angle_gamma 60.00
_space_group_name_H-M_alt 'P 1'
_space_group_IT_number 1
_space_group_name_Hall 'P 1'
loop_
_atom_site_label
_atom_site_fract_x
_atom_site_fract_y
_atom_site_fract_z
Ca1 0.1580 0.6140 0.6140
Ca2 0.2187 0.2187 0.7813
Ca3 0.2187 0.7813 0.2187
Ca4 0.2187 0.7813 0.7813
Ca5 0.3868 0.3868 0.3868
Ca6 0.3868 0.3868 0.8395
Ca7 0.3868 0.8395 0.3868
Ca8 0.6140 0.1580 0.6140
Ca9 0.6140 0.6140 0.1580
Ca10 0.6140 0.6140 0.6140
Ca11 0.7813 0.2187 0.2187
Ca12 0.7813 0.2187 0.7813
Ca13 0.7813 0.7813 0.2187
Ca14 0.8395 0.3868 0.3868
Al1 0.0000 0.0000 0.0000
Al2 0.0068 0.0068 0.4932
Al3 0.0068 0.4932 0.0068
Al4 0.0068 0.4932 0.4932
Al5 0.1379 0.1379 0.1379
Al6 0.1379 0.1379 0.5864
Al7 0.1379 0.5864 0.1379
Al8 0.4932 0.0068 0.0068
Al9 0.4932 0.0068 0.4932
Al10 0.4932 0.4932 0.0068
Al11 0.5000 0.5000 0.5000
Al12 0.5864 0.1379 0.1379
Zn1 0.5167 0.8278 0.8278
Zn2 0.8278 0.5167 0.8278
Zn3 0.8278 0.8278 0.5167
Zn4 0.8278 0.8278 0.8278
O1 0.0445 0.4515 0.6580
O2 0.0445 0.6580 0.8460
O3 0.0445 0.8460 0.4515
O4 0.0683 0.0683 0.0683
O5 0.0683 0.0683 0.7952
O6 0.0683 0.7952 0.0683
O7 0.1646 0.3139 0.9893
O8 0.1646 0.5322 0.3139
O9 0.1646 0.9893 0.5322
O10 0.3139 0.1646 0.5322
O11 0.3139 0.5322 0.9893
O12 0.3139 0.9893 0.1646
O13 0.3704 0.3704 0.6296
O14 0.3704 0.6296 0.3704
O15 0.3704 0.6296 0.6296
O16 0.4515 0.0445 0.8460
O17 0.4515 0.6580 0.0445
O18 0.4515 0.8460 0.6580
O19 0.5322 0.1646 0.9893
O20 0.5322 0.3139 0.1646
O21 0.5322 0.9893 0.3139
O22 0.6296 0.3704 0.3704
O23 0.6296 0.3704 0.6296
O24 0.6296 0.6296 0.3704
O25 0.6580 0.0445 0.4515
O26 0.6580 0.4515 0.8460
O27 0.6580 0.8460 0.0445
O28 0.7500 0.7500 0.7500
O29 0.7952 0.0683 0.0683
O30 0.8460 0.0445 0.6580
O31 0.8460 0.4515 0.0445
O32 0.8460 0.6580 0.4515
O33 0.9893 0.1646 0.3139
O34 0.9893 0.3139 0.5322
O35 0.9893 0.5322 0.1646
```

Output
**ρ**: 3.35 g cm⁻³
**Final energy**: -6.662 eV/atom
**Space group**: F23 (196)
**Energy relative to the elements, uncorrected**: -2792 meV/atom
**Magnetization**: 0.000 μB/atom



Here is a relaxed structure of CaAlZn2O4 from Alexandria via LeMat-Bulk. Energies are from PBE.

```
data_CaAlZn2O4
_chemical_formula_sum 'Ca1 Al1 Zn2 O4'
_cell_length_a 5.5802
_cell_length_b 5.5802
_cell_length_c 5.5802
_cell_angle_alpha 127.03
_cell_angle_beta 127.03
_cell_angle_gamma 78.21
_space_group_name_H-M_alt 'P 1'
_space_group_IT_number 1
_space_group_name_Hall 'P 1'
loop_
_atom_site_label
_atom_site_fract_x
_atom_site_fract_y
_atom_site_fract_z
Ca1 0.0000 0.0000 0.0000
Al1 0.5000 0.5000 0.0000
Zn1 0.2500 0.7500 0.5000
Zn2 0.7500 0.2500 0.5000
O1 0.1686 0.5876 0.0000
O2 0.4124 0.4124 0.5810
O3 0.5876 0.1686 0.0000
O4 0.8314 0.8314 0.4190
```

Output
**ρ**: 4.05 g cm⁻³
**Final energy**: -5.557 eV/atom
**Space group**: I-42m (121)
**Energy relative to the elements, uncorrected**: -2041 meV/atom
**Magnetization**: 0.000 μB/atom



Question: The lowest energy relative to the elements, uncorrected belongs to which entry?
Answer: Ca14Al12Zn4O35



Question: Which value of ρ does entry 1 give?
Answer: 3.93 g cm⁻³